# GGA-PBE TbMgScRh, optimized geometry
data_TbMgScRh
_space_group_name_H-M_alt 'F -4 3 m'
_space_group_IT_number 216
_space_group_name_Hall 'F -4 2 3'
_cell_length_a 6.965
_cell_length_b 6.965
_cell_length_c 6.965
_cell_angle_alpha 90.00
_cell_angle_beta 90.00
_cell_angle_gamma 90.00
loop_
_atom_site_label
_atom_site_fract_x
_atom_site_fract_y
_atom_site_fract_z
Tb1 0.000 0.000 0.000
Mg1 0.250 0.250 0.750
Sc1 0.000 0.000 0.500
Rh1 0.250 0.250 0.250
# * total magnetization: 0.0 Bohr magnetons per cell
# * DOS at the Fermi energy: 9.2 states/eV/cell
# * electronic total energy: -5.388 eV per atom
# * E_form: -0.411 eV/atom